V2IrPt6 | Alexandria via LeMat-Bulk | PBE-GGA | relaxed; space group = P-62m, No. 189; formation enthalpy at 0 K = -302.5 meV per atom; raw total energy = -0.540 Ry per atom
1.0
2.755 0.000 0.000
0.000 6.683 -3.476
0.000 -0.331 7.525
V Ir Pt
2 1 6
direct
0.000 0.667 0.333
0.000 0.333 0.667
0.500 0.000 0.000
0.500 0.368 0.368
0.500 0.632 0.000
0.500 0.000 0.632
0.000 0.691 0.691
0.000 0.309 0.000
0.000 0.000 0.309